(1)
Computed, not measured: a geometry-optimized Er3Al3Zn8 structure at the GGA-PBE level of DFT.

CIF file:
```
data_Er3Al3Zn8
_chemical_formula_sum 'Er6 Al6 Zn16'
_space_group_name_H-M_alt 'I m m m'
_space_group_IT_number 71
_space_group_name_Hall '-I 2 2'
_cell_length_a 4.200
_cell_length_b 9.542
_cell_length_c 12.477
_cell_angle_alpha 90.00
_cell_angle_beta 90.00
_cell_angle_gamma 90.00
loop_
_atom_site_label
_atom_site_fract_x
_atom_site_fract_y
_atom_site_fract_z
Er1 0.000 0.000 0.000
Er2 0.000 0.000 0.304
Al1 0.000 0.206 0.500
Al2 0.000 0.500 0.000
Zn1 0.000 0.277 0.141
Zn2 0.000 0.369 0.339
```

Mass density: 7346 kg/m³
Magnetic moment: 0.00 μB/atom
E: -40.16 eV per formula unit

(2)
Computed, not measured: a geometry-optimized Tb2Co7 structure at the GGA-PBE level of DFT.

CIF file:
```
data_Tb2Co7
_chemical_formula_sum 'Tb12 Co42'
_space_group_name_H-M_alt 'R -3 m'
_space_group_IT_number 166
_space_group_name_Hall '-R 3 2"'
_cell_length_a 4.9559
_cell_length_b 4.9559
_cell_length_c 35.9735
_cell_angle_alpha 90.00
_cell_angle_beta 90.00
_cell_angle_gamma 120.00
loop_
_atom_site_label
_atom_site_fract_x
_atom_site_fract_y
_atom_site_fract_z
Tb1 0.0000 0.0000 0.0515
Tb2 0.0000 0.0000 0.1480
Co1 0.0000 0.0000 0.2786
Co2 0.0000 0.0000 0.3882
Co3 0.0000 0.0000 0.5000
Co4 0.0000 0.5000 0.0000
Co5 0.0007 0.5004 0.8910
```

Mass density: 9510 kg/m³
E_form: -140 meV/atom
Magnetic moment: 0.96 μB/atom

(3)
Computed, not measured: a geometry-optimized Tb2HoIn3Fe2Cu structure at the GGA-PBE level of DFT.

CIF file:
```
data_Tb2HoIn3Fe2Cu
_chemical_formula_sum 'Tb4 Ho2 In6 Fe4 Cu2'
_space_group_name_H-M_alt 'A m m 2'
_space_group_IT_number 38
_cell_length_a 3.886
_cell_length_b 12.992
_cell_length_c 7.501
_cell_angle_alpha 90.00
_cell_angle_beta 90.00
_cell_angle_gamma 90.00
loop_
_space_group_symop_operation_xyz
'x,y,z'
'-x,-y,z'
'-x,y,z'
'x,-y,z'
'x,y+1/2,z+1/2'
'-x,-y+1/2,z+1/2'
'-x,y+1/2,z+1/2'
'x,-y+1/2,z+1/2'
loop_
_atom_site_label
_atom_site_fract_x
_atom_site_fract_y
_atom_site_fract_z
Tb1 0.000 0.206 0.000
Ho1 0.000 0.000 0.383
In1 0.500 0.000 0.052
In2 0.500 0.128 0.665
Fe1 0.500 0.166 0.294
Cu1 0.000 0.000 0.794
```

Mass density: 8791 kg/m³
Magnetic moment: 0.40 μB/atom
E: -44.34 eV per formula unit

(4)
Computed, not measured: a geometry-optimized TbTmAsO structure at the GGA-PBE level of DFT.

CIF file:
```
data_TbTmAsO
_chemical_formula_sum 'Tb2 Tm2 As2 O2'
_space_group_name_H-M_alt 'P 4/n m m'
_space_group_IT_number 129
_cell_length_a 4.294
_cell_length_b 4.294
_cell_length_c 8.738
_cell_angle_alpha 90.00
_cell_angle_beta 90.00
_cell_angle_gamma 90.00
loop_
_space_group_symop_operation_xyz
'x,y,z'
'-x,-y,-z'
'-y+1/2,x,z'
'y+1/2,-x,-z'
'-x+1/2,-y+1/2,z'
'x+1/2,y+1/2,-z'
'y,-x+1/2,z'
'-y,x+1/2,-z'
'x+1/2,-y,-z'
'-x+1/2,y,z'
'-y,-x,-z'
'y,x,z'
'-x,y+1/2,-z'
'x,-y+1/2,z'
'y+1/2,x+1/2,-z'
'-y+1/2,-x+1/2,z'
loop_
_atom_site_label
_atom_site_fract_x
_atom_site_fract_y
_atom_site_fract_z
Tb1 0.250 0.750 0.000
Tm1 0.250 0.250 0.404
As1 0.250 0.250 0.788
O1 0.250 0.750 0.500
```

Mass density: 8634 kg/m³
ΔE to the lowest computed polymorph: 134 meV/atom
Magnetic moment: 0.00 μB/atom

(5)
Computed, not measured: a geometry-optimized AgPdSO structure at the GGA-PBE level of DFT.

CIF file:
```
data_AgPdSO
_chemical_formula_sum 'Ag4 Pd4 S4 O4'
_space_group_name_H-M_alt 'P c a 21'
_space_group_IT_number 29
_cell_length_a 6.040
_cell_length_b 6.980
_cell_length_c 5.816
_cell_angle_alpha 90.00
_cell_angle_beta 90.00
_cell_angle_gamma 90.00
loop_
_space_group_symop_operation_xyz
'x,y,z'
'-x,-y,z+1/2'
'-x+1/2,y,z+1/2'
'x+1/2,-y,z'
loop_
_atom_site_label
_atom_site_fract_x
_atom_site_fract_y
_atom_site_fract_z
Ag1 0.181 0.156 0.000
Pd1 0.118 0.699 0.072
S1 0.018 0.590 0.710
O1 0.190 0.885 0.371
```

Mass density: 7106 kg/m³
ΔE to the lowest computed polymorph: 96 meV/atom

(6)
Computed, not measured: a geometry-optimized Ba2HgAu structure at the GGA-PBE level of DFT.

CIF file:
```
data_Ba2HgAu
_chemical_formula_sum 'Ba8 Hg4 Au4'
_space_group_name_H-M_alt 'F -4 3 m'
_space_group_IT_number 216
_space_group_name_Hall 'F -4 2 3'
_cell_length_a 7.815
_cell_length_b 7.815
_cell_length_c 7.815
_cell_angle_alpha 90.00
_cell_angle_beta 90.00
_cell_angle_gamma 90.00
loop_
_atom_site_label
_atom_site_fract_x
_atom_site_fract_y
_atom_site_fract_z
Ba1 0.000 0.000 0.000
Ba2 0.250 0.250 0.250
Hg1 0.000 0.000 0.500
Au1 0.250 0.250 0.750
```

Mass density: 9354 kg/m³
E: -8.77 eV per formula unit

(7)
Computed, not measured: a geometry-optimized GaCuTe structure at the GGA-PBE level of DFT.

CIF file:
```
data_GaCuTe
_chemical_formula_sum 'Ga4 Cu4 Te4'
_space_group_name_H-M_alt 'F -4 3 m'
_space_group_IT_number 216
_space_group_name_Hall 'F -4 2 3'
_cell_length_a 6.662
_cell_length_b 6.662
_cell_length_c 6.662
_cell_angle_alpha 90.00
_cell_angle_beta 90.00
_cell_angle_gamma 90.00
loop_
_atom_site_label
_atom_site_fract_x
_atom_site_fract_y
_atom_site_fract_z
Ga1 0.000 0.000 0.000
Cu1 0.000 0.000 0.500
Te1 0.250 0.250 0.250
```

Mass density: 5861 kg/m³
E: -9.30 eV per formula unit

(8)
Computed, not measured: a geometry-optimized RbFeCuS3 structure at the GGA-PBE level of DFT.

CIF file:
```
data_RbFeCuS3
_chemical_formula_sum 'Rb4 Fe4 Cu4 S12'
_space_group_name_H-M_alt 'P n m a'
_space_group_IT_number 62
_cell_length_a 14.598
_cell_length_b 3.570
_cell_length_c 9.369
_cell_angle_alpha 90.00
_cell_angle_beta 90.00
_cell_angle_gamma 90.00
loop_
_space_group_symop_operation_xyz
'x,y,z'
'-x,-y,-z'
'-x+1/2,-y,z+1/2'
'x+1/2,y,-z+1/2'
'x+1/2,-y+1/2,-z+1/2'
'-x+1/2,y+1/2,z+1/2'
'-x,y+1/2,-z'
'x,-y+1/2,z'
loop_
_atom_site_label
_atom_site_fract_x
_atom_site_fract_y
_atom_site_fract_z
Rb1 0.239 0.250 0.050
Fe1 0.014 0.250 0.337
Cu1 0.013 0.750 0.096
S1 0.068 0.250 0.568
S2 0.083 0.750 0.861
S3 0.112 0.750 0.279
```

Mass density: 4096 kg/m³
Magnetic moment: 0.30 μB/atom
E: -28.51 eV per formula unit

(9)
Computed, not measured: a geometry-optimized TbGdSnC structure at the GGA-PBE level of DFT.

CIF file:
```
data_TbGdSnC
_chemical_formula_sum 'Tb2 Gd2 Sn2 C2'
_space_group_name_H-M_alt 'P -6 m 2'
_space_group_IT_number 187
_space_group_name_Hall 'P -6 2'
_cell_length_a 3.6502
_cell_length_b 3.6502
_cell_length_c 16.0614
_cell_angle_alpha 90.00
_cell_angle_beta 90.00
_cell_angle_gamma 120.00
loop_
_atom_site_label
_atom_site_fract_x
_atom_site_fract_y
_atom_site_fract_z
Tb1 0.0000 0.0000 0.1652
Gd1 0.3333 0.6667 0.3348
Sn1 0.0000 0.0000 0.5000
Sn2 0.3333 0.6667 0.0000
C1 0.6667 0.3333 0.2493
```

Mass density: 8008 kg/m³
Magnetic moment: 0.00 μB/atom
E: -24.50 eV per formula unit